No. 1
The following is a PBE-GGA calculation of an optimized crystal structure of Tl6InBi3, from Alexandria.

abc: 5.8494 9.5223 12.2182
angles: 90.00 82.31 90.00
Fractional positions:
1 Tl 0.5769 0.2085 0.8001
2 Tl 0.4231 0.7915 0.1999
3 Tl 0.0147 0.6536 0.3915
4 Tl 0.0769 0.2915 0.3001
5 Tl 0.9853 0.3464 0.6085
6 Tl 0.0162 0.3330 0.9422
7 Tl 0.9231 0.7085 0.6999
8 Tl 0.5162 0.1670 0.4422
9 Tl 0.5147 0.8464 0.8915
10 Tl 0.4853 0.1536 0.1085
11 Tl 0.9838 0.6670 0.0578
12 Tl 0.4838 0.8330 0.5578
13 In 0.5000 0.5000 0.5000
14 In 0.0000 0.0000 0.0000
15 Bi 0.8832 0.9623 0.2532
16 Bi 0.6168 0.4623 0.2468
17 Bi 0.1168 0.0377 0.7468
18 Bi 0.0000 0.0000 0.5000
19 Bi 0.3832 0.5377 0.7532
20 Bi 0.5000 0.5000 0.0000

formation energy from the elements: 0.04 eV/atom
energy above the lowest structure with this stoichiometry: 0.012 eV per atom
calculated density: 9.69 g/cm3


No. 2
The following is a PBE-GGA calculation of an optimized crystal structure of NaZnPd2, from Alexandria.

abc: 3.1040 4.4895 4.4895
angles: 90.00 90.00 90.00
Fractional positions:
1 Pd 0.0000 0.5000 0.0000
2 Pd 0.0000 0.0000 0.5000
3 Na 0.5000 0.5000 0.5000
4 Zn 0.5000 0.0000 0.0000

formation energy from the elements: -0.26 eV/atom
calculated density: 8.00 g/cm3


No. 3
The following is a PBE-GGA calculation of an optimized crystal structure of MnCuIrAu, from Alexandria.

abc: 4.3543 4.3543 4.3543
angles: 60.00 60.00 60.00
Site moments in Bohr magnetons follow the coordinates.
Fractional positions:
1 Cu 0.7500 0.7500 0.7500  0.00
2 Mn 0.2500 0.2500 0.2500  3.59
3 Au 0.5000 0.5000 0.5000  0.10
4 Ir 0.0000 0.0000 0.0000  0.29

formation energy from the elements: 0.08 eV/atom
calculated density: 14.44 g/cm3


No. 4
The following is a PBE-GGA calculation of an optimized crystal structure of AsPRu2, from Alexandria.

abc: 3.7102 3.7102 5.5064
angles: 70.31 70.31 60.00
Fractional positions:
1 As 0.5024 0.5024 0.4927
2 Ru 0.0624 0.0624 0.8128
3 Ru 0.2619 0.2619 0.2143
4 P 0.6733 0.6733 0.9802

formation energy from the elements: -0.24 eV/atom
energy above the lowest structure with this stoichiometry: 0.050 eV per atom
calculated density: 8.46 g/cm3


No. 5
The following is a PBE-GGA calculation of an optimized crystal structure of Ca7Ag2Hg2, from Alexandria.

abc: 4.2201 9.8435 9.8435
angles: 61.42 77.62 77.62
Fractional positions:
1 Ca 0.8173 0.0752 0.2902
2 Ca 0.8609 0.4104 0.8678
3 Ca 0.3853 0.7157 0.5136
4 Ca 0.6147 0.4864 0.2843
5 Ca 0.5000 0.0159 0.9841
6 Ca 0.1827 0.7098 0.9248
7 Ca 0.1391 0.1322 0.5896
8 Ag 0.7391 0.8592 0.6625
9 Ag 0.2609 0.3375 0.1408
10 Hg 0.5000 0.3406 0.6594
11 Hg 0.0000 0.7708 0.2292

formation energy from the elements: -0.34 eV/atom
energy above the lowest structure with this stoichiometry: 0.000 eV per atom
calculated density: 4.29 g/cm3


No. 6
The following is a PBE-GGA calculation of an optimized crystal structure of Nd4CdCu, from Alexandria.

abc: 6.1960 9.1869 6.4218
angles: 90.00 105.64 90.00
Fractional positions:
1 Nd 0.5702 0.8456 0.1248
2 Nd 0.1234 0.8298 0.6052
3 Nd 0.3766 0.3298 0.3948
4 Nd 0.0702 0.6544 0.1248
5 Nd 0.4298 0.1544 0.8752
6 Nd 0.9298 0.3456 0.8752
7 Nd 0.8766 0.1702 0.3948
8 Nd 0.6234 0.6702 0.6052
9 Cu 0.0000 0.5000 0.5000
10 Cu 0.5000 0.0000 0.5000
11 Cd 0.0000 0.0000 0.0000
12 Cd 0.5000 0.5000 0.0000

formation energy from the elements: 0.01 eV/atom
energy above the lowest structure with this stoichiometry: 0.142 eV per atom
calculated density: 7.10 g/cm3


No. 7
The following is a PBE-GGA calculation of an optimized crystal structure of La2Th3Rh2, from Alexandria.

abc: 3.8780 6.3799 9.1905
angles: 69.36 77.82 72.31
Fractional positions:
1 Rh 0.1329 0.9473 0.7870
2 Rh 0.8671 0.0527 0.2130
3 La 0.1608 0.4714 0.2070
4 La 0.8392 0.5286 0.7930
5 Th 0.5000 0.0000 0.0000
6 Th 0.6220 0.1935 0.5625
7 Th 0.3780 0.8065 0.4375

formation energy from the elements: -0.53 eV/atom
calculated density: 9.73 g/cm3


No. 8
The following is a PBE-GGA calculation of an optimized crystal structure of Tm4NiSe2S, from Alexandria.

abc: 3.8505 6.9423 6.9907
angles: 108.63 90.00 90.00
Fractional positions:
1 Se 0.0000 0.5000 0.5000
2 Se 0.5000 0.0000 0.5000
3 Tm 0.0000 0.2728 0.7804
4 Tm 0.0000 0.7272 0.2196
5 Tm 0.5000 0.7497 0.7695
6 Tm 0.5000 0.2503 0.2305
7 Ni 0.5000 0.5000 0.0000
8 S 0.0000 0.0000 0.0000

E_form (uncorrected): -1.4376 eV/atom
calculated density: 8.67 g/cm3